[1]
# Ca2AcAg6

A relaxed structure of Ca2AcAg6 (GGA-PBE, Alexandria).

a = 3.855 Å, b = 8.551 Å, c = 8.551 Å
α = 56.79°, β = 76.97°, γ = 76.97°
Element x y z (fractional)
Ca 0.361 0.139 0.139
Ca 0.639 0.861 0.861
Ac 0.500 0.500 0.500
Ag 0.178 0.506 0.138
Ag 0.822 0.494 0.862
Ag 0.822 0.862 0.494
Ag 0.000 0.174 0.826
Ag 0.000 0.826 0.174
Ag 0.178 0.138 0.506

- density of states at the Fermi level (states/eV per cell) = 4.23
- calculated total energy (eV/atom) = -3.022
- ρ (g/cm3) = 6.952



[2]
# Ca3Ac2Ag2

A relaxed structure of Ca3Ac2Ag2 (GGA-PBE, Alexandria).

a = 4.048 Å, b = 6.916 Å, c = 9.549 Å
α = 98.45°, β = 102.24°, γ = 107.02°
Element x y z (fractional)
Ca 0.500 0.000 0.000
Ca 0.175 0.792 0.558
Ca 0.825 0.208 0.442
Ac 0.652 0.488 0.817
Ac 0.348 0.512 0.183
Ag 0.074 0.913 0.236
Ag 0.926 0.087 0.764

- density of states at the Fermi level (states/eV per cell) = 8.09
- calculated total energy (eV/atom) = -3.009
- ρ (g/cm3) = 5.387



[3]
# Ca4Ac3Ag4

A relaxed structure of Ca4Ac3Ag4 (GGA-PBE, Alexandria).

a = 3.993 Å, b = 9.813 Å, c = 10.640 Å
α = 117.46°, β = 100.82°, γ = 90.00°
Element x y z (fractional)
Ca 0.331 0.148 0.661
Ca 0.669 0.486 0.339
Ca 0.669 0.852 0.339
Ca 0.331 0.514 0.661
Ac 0.099 0.099 0.198
Ac 0.901 0.901 0.802
Ac 0.000 0.500 0.000
Ag 0.258 0.758 0.517
Ag 0.742 0.242 0.483
Ag 0.500 0.785 0.000
Ag 0.500 0.215 0.000

- density of states at the Fermi level (states/eV per cell) = 10.71
- calculated total energy (eV/atom) = -3.073
- ρ (g/cm3) = 5.845



[4]
# CaAc2Ag5

A relaxed structure of CaAc2Ag5 (GGA-PBE, Alexandria).

a = 5.382 Å, b = 5.382 Å, c = 8.240 Å
α = 109.06°, β = 109.06°, γ = 90.00°
Element x y z (fractional)
Ca 0.000 0.000 0.000
Ac 0.728 0.728 0.455
Ac 0.272 0.272 0.545
Ag 0.500 0.500 0.000
Ag 0.896 0.396 0.791
Ag 0.396 0.896 0.791
Ag 0.104 0.604 0.209
Ag 0.604 0.104 0.209

- density of states at the Fermi level (states/eV per cell) = 5.53
- calculated total energy (eV/atom) = -3.247
- ρ (g/cm3) = 8.107



[5]
# Ca3AcAg

A relaxed structure of Ca3AcAg (GGA-PBE, Alexandria).

a = 8.166 Å, b = 8.166 Å, c = 7.825 Å
α = 101.22°, β = 117.04°, γ = 112.21°
Element x y z (fractional)
Ca 0.829 0.087 0.326
Ca 0.240 0.497 0.326
Ca 0.760 0.503 0.674
Ca 0.690 0.425 0.116
Ca 0.171 0.913 0.674
Ca 0.310 0.575 0.884
Ac 0.746 0.033 0.778
Ac 0.254 0.967 0.222
Ag 0.661 0.721 0.382
Ag 0.339 0.279 0.618

- density of states at the Fermi level (states/eV per cell) = 12.84
- calculated total energy (eV/atom) = -2.643
- ρ (g/cm3) = 3.921



[6]
# CaAc2Ag9

A relaxed structure of CaAc2Ag9 (GGA-PBE, Alexandria).

a = 5.810 Å, b = 5.810 Å, c = 10.120 Å
α = 73.32°, β = 73.32°, γ = 60.00°
Element x y z (fractional)
Ca 0.000 0.000 0.000
Ac 0.861 0.861 0.418
Ac 0.139 0.139 0.582
Ag 0.667 0.667 0.999
Ag 0.333 0.333 0.001
Ag 0.500 0.500 0.500
Ag 0.418 0.418 0.244
Ag 0.920 0.418 0.244
Ag 0.418 0.920 0.244
Ag 0.582 0.582 0.756
Ag 0.582 0.080 0.756
Ag 0.080 0.582 0.756

- density of states at the Fermi level (states/eV per cell) = 6.75
- calculated total energy (eV/atom) = -3.162
- ρ (g/cm3) = 8.713



[7]
# CaAc2Cd12Ag3

A relaxed structure of CaAc2Cd12Ag3 (GGA-PBE, Alexandria).

a = 11.700 Å, b = 11.700 Å, c = 11.700 Å
α = 35.85°, β = 35.85°, γ = 35.85°
Element x y z (fractional)
Ca 0.000 0.000 0.000
Ac 0.642 0.642 0.642
Ac 0.358 0.358 0.358
Cd 0.315 0.315 0.725
Cd 0.874 0.874 0.451
Cd 0.451 0.874 0.874
Cd 0.725 0.315 0.315
Cd 0.874 0.451 0.874
Cd 0.315 0.725 0.315
Cd 0.685 0.685 0.275
Cd 0.126 0.126 0.549
Cd 0.549 0.126 0.126
Cd 0.275 0.685 0.685
Cd 0.126 0.549 0.126
Cd 0.685 0.275 0.685
Ag 0.500 0.000 0.000
Ag 0.000 0.500 0.000
Ag 0.000 0.000 0.500

- density of states at the Fermi level (states/eV per cell) = 10.19
- calculated total energy (eV/atom) = -1.702
- ρ (g/cm3) = 7.326



[8]
# CaAc2CdAg6

A relaxed structure of CaAc2CdAg6 (GGA-PBE, Alexandria).

a = 7.522 Å, b = 7.522 Å, c = 7.522 Å
α = 60.00°, β = 60.00°, γ = 90.00°
Element x y z (fractional)
Ca 0.500 0.500 0.000
Ac 0.250 0.750 0.500
Ac 0.750 0.250 0.500
Cd 0.000 0.000 0.000
Ag 0.245 0.755 0.000
Ag 0.755 0.755 0.000
Ag 0.245 0.245 0.510
Ag 0.755 0.245 0.000
Ag 0.245 0.245 0.000
Ag 0.755 0.755 0.490

- density of states at the Fermi level (states/eV per cell) = 7.00
- calculated total energy (eV/atom) = -2.603
- ρ (g/cm3) = 6.916